# DyErCd2 (PBE, optimized geometry)
# formation energy = -318 meV/atom
# M_tot = 0.00 μB/f.u.
# DFT total energy = -3.07 eV per atom
# density of states at the Fermi level = 3.99 states/eV per cell
data_DyErCd2
_symmetry_space_group_name_H-M 'P 4/m m m'
_symmetry_Int_Tables_number 123
_symmetry_space_group_name_Hall '-P 4 2'
_cell_length_a 5.252
_cell_length_b 5.252
_cell_length_c 3.758
_cell_angle_alpha 90.00
_cell_angle_beta 90.00
_cell_angle_gamma 90.00
loop_
_atom_site_label
_atom_site_type_symbol
_atom_site_fract_x
_atom_site_fract_y
_atom_site_fract_z
Dy1 Dy 0.000 0.000 0.000
Er1 Er 0.500 0.500 0.000
Cd1 Cd 0.000 0.500 0.500

---

# Ca7Zn2Hg2 (PBE, optimized geometry)
# formation energy = -145 meV/atom
# M_tot = 0.00 μB/f.u.
# DFT total energy = -1.70 eV per atom
# density of states at the Fermi level = 21.80 states/eV per cell
data_Ca7Zn2Hg2
_symmetry_space_group_name_H-M 'C m m m'
_symmetry_Int_Tables_number 65
_symmetry_space_group_name_Hall '-C 2 2'
_cell_length_a 8.052
_cell_length_b 11.711
_cell_length_c 7.715
_cell_angle_alpha 90.00
_cell_angle_beta 90.00
_cell_angle_gamma 90.00
loop_
_atom_site_label
_atom_site_type_symbol
_atom_site_fract_x
_atom_site_fract_y
_atom_site_fract_z
Ca1 Ca 0.000 0.000 0.000
Ca2 Ca 0.000 0.500 0.249
Ca3 Ca 0.250 0.250 0.276
Zn1 Zn 0.000 0.290 0.000
Hg1 Hg 0.182 0.000 0.500

---

# Li2ScTe (PBE, optimized geometry)
# E_form (uncorrected) = -0.39 eV per atom
# M_tot = 0.82 μB/f.u.
# DFT total energy = -3.72 eV per atom
# density of states at the Fermi level = 6.69 states/eV per cell
data_Li2ScTe
_symmetry_space_group_name_H-M 'I m m m'
_symmetry_Int_Tables_number 71
_symmetry_space_group_name_Hall '-I 2 2'
_cell_length_a 3.919
_cell_length_b 4.286
_cell_length_c 10.633
_cell_angle_alpha 90.00
_cell_angle_beta 90.00
_cell_angle_gamma 90.00
loop_
_atom_site_label
_atom_site_type_symbol
_atom_site_fract_x
_atom_site_fract_y
_atom_site_fract_z
Li1 Li 0.000 0.000 0.238
Sc1 Sc 0.000 0.500 0.000
Te1 Te 0.000 0.500 0.500

---

# BaHgPb2 (PBE, optimized geometry)
# formation energy = -381 meV/atom
# M_tot = 0.00 μB/f.u.
# DFT total energy = -2.79 eV per atom
# density of states at the Fermi level = 8.67 states/eV per cell
data_BaHgPb2
_symmetry_space_group_name_H-M 'C 1 2/m 1'
_symmetry_Int_Tables_number 12
_cell_length_a 7.565
_cell_length_b 7.584
_cell_length_c 9.957
_cell_angle_alpha 90.00
_cell_angle_beta 112.28
_cell_angle_gamma 90.00
loop_
_symmetry_equiv_pos_as_xyz
'x,y,z'
'-x,-y,-z'
'-x,y,-z'
'x,-y,z'
'x+1/2,y+1/2,z'
'-x+1/2,-y+1/2,-z'
'-x+1/2,y+1/2,-z'
'x+1/2,-y+1/2,z'
loop_
_atom_site_label
_atom_site_type_symbol
_atom_site_fract_x
_atom_site_fract_y
_atom_site_fract_z
Ba1 Ba 0.133 0.000 0.269
Hg1 Hg 0.000 0.252 0.500
Pb1 Pb 0.127 0.500 0.255
Pb2 Pb 0.250 0.250 0.000

---

# RuPt2Rh (PBE, optimized geometry)
# formation energy = -38 meV/atom
# M_tot = 0.00 μB/f.u.
# DFT total energy = -7.21 eV per atom
# density of states at the Fermi level = 4.22 states/eV per cell
data_RuPt2Rh
_symmetry_space_group_name_H-M 'P 4 m m'
_symmetry_Int_Tables_number 99
_cell_length_a 2.741
_cell_length_b 2.741
_cell_length_c 7.898
_cell_angle_alpha 90.00
_cell_angle_beta 90.00
_cell_angle_gamma 90.00
loop_
_symmetry_equiv_pos_as_xyz
'x,y,z'
'-y,x,z'
'-x,-y,z'
'y,-x,z'
'-x,y,z'
'y,x,z'
'x,-y,z'
'-y,-x,z'
loop_
_atom_site_label
_atom_site_type_symbol
_atom_site_fract_x
_atom_site_fract_y
_atom_site_fract_z
Ru1 Ru 0.000 0.000 0.000
Pt1 Pt 0.000 0.000 0.514
Pt2 Pt 0.500 0.500 0.248
Rh1 Rh 0.500 0.500 0.772

---

# LiMn2Cl (PBE, optimized geometry)
# E_form (uncorrected) = 0.24 eV per atom
# M_tot = 8.20 μB/f.u.
# DFT total energy = -5.29 eV per atom
# density of states at the Fermi level = 6.29 states/eV per cell
data_LiMn2Cl
_symmetry_space_group_name_H-M 'I m m 2'
_symmetry_Int_Tables_number 44
_cell_length_a 2.985
_cell_length_b 5.516
_cell_length_c 8.942
_cell_angle_alpha 90.00
_cell_angle_beta 90.00
_cell_angle_gamma 90.00
loop_
_symmetry_equiv_pos_as_xyz
'x,y,z'
'-x,-y,z'
'-x,y,z'
'x,-y,z'
'x+1/2,y+1/2,z+1/2'
'-x+1/2,-y+1/2,z+1/2'
'-x+1/2,y+1/2,z+1/2'
'x+1/2,-y+1/2,z+1/2'
loop_
_atom_site_label
_atom_site_type_symbol
_atom_site_fract_x
_atom_site_fract_y
_atom_site_fract_z
Li1 Li 0.000 0.000 0.000
Mn1 Mn 0.000 0.000 0.563
Mn2 Mn 0.000 0.500 0.808
Cl1 Cl 0.000 0.500 0.290

---

# Y4Ho5Mg (PBE, optimized geometry)
# formation energy = 197 meV/atom
# M_tot = 0.00 μB/f.u.
# DFT total energy = -4.84 eV per atom
# density of states at the Fermi level = 24.41 states/eV per cell
data_Y4Ho5Mg
_symmetry_space_group_name_H-M 'I 4 m m'
_symmetry_Int_Tables_number 107
_symmetry_space_group_name_Hall 'I 4 -2'
_cell_length_a 10.576
_cell_length_b 10.576
_cell_length_c 5.718
_cell_angle_alpha 90.00
_cell_angle_beta 90.00
_cell_angle_gamma 90.00
loop_
_atom_site_label
_atom_site_type_symbol
_atom_site_fract_x
_atom_site_fract_y
_atom_site_fract_z
Y1 Y 0.000 0.319 0.000
Ho1 Ho 0.000 0.000 0.788
Ho2 Ho 0.186 0.186 0.509
Mg1 Mg 0.000 0.000 0.267

---

# Cs3Rb2Ag (PBE, optimized geometry)
# formation energy = 55 meV/atom
# M_tot = 0.00 μB/f.u.
# DFT total energy = -1.17 eV per atom
# density of states at the Fermi level = 23.02 states/eV per cell
data_Cs3Rb2Ag
_symmetry_space_group_name_H-M 'C m c m'
_symmetry_Int_Tables_number 63
_symmetry_space_group_name_Hall '-C 2c 2'
_cell_length_a 15.313
_cell_length_b 12.321
_cell_length_c 11.083
_cell_angle_alpha 90.00
_cell_angle_beta 90.00
_cell_angle_gamma 90.00
loop_
_atom_site_label
_atom_site_type_symbol
_atom_site_fract_x
_atom_site_fract_y
_atom_site_fract_z
Cs1 Cs 0.000 0.203 0.250
Cs2 Cs 0.162 0.500 0.000
Rb1 Rb 0.141 0.198 0.750
Ag1 Ag 0.000 0.454 0.750